DFT (PBE) results for an optimized crystal structure of CsBaSrIn.

Unit cell a=8.8780 b=8.8780 c=8.8780 alpha=90.00 beta=90.00 gamma=90.00
Space group F-43m (No. 216)
Symmetry-distinct sites (fractional):
Cs: 0.0000 0.0000 0.0000 [4 per cell]
Ba: 0.2500 0.2500 0.2500 [4 per cell]
Sr: 0.2500 0.2500 0.7500 [4 per cell]
In: 0.0000 0.0000 0.5000 [4 per cell]

Calculated formation energy = -65 meV per atom

---

DFT (PBE) results for an optimized crystal structure of CsBaInTe3.

Unit cell a=18.7842 b=5.9135 c=10.0132 alpha=90.00 beta=101.78 gamma=90.00
Space group C2/m (No. 12)
Symmetry-distinct sites (fractional):
Cs: 0.1550 0.0000 0.0554 [4 per cell]
Ba: 0.1423 0.0000 0.5496 [4 per cell]
In: 0.0152 0.5000 0.2720 [4 per cell]
Te: 0.0019 0.0000 0.7385 [4 per cell]
Te: 0.1379 0.5000 0.7583 [4 per cell]
Te: 0.1684 0.5000 0.3307 [4 per cell]

ΔE_f (raw) = -0.897 eV/atom

---

DFT (PBE) results for an optimized crystal structure of Cs2BaTl12In3.

Unit cell a=11.8628 b=11.8628 c=16.0440 alpha=90.00 beta=90.00 gamma=120.00
Space group R-3m (No. 166, hexagonal axes)
Symmetry-distinct sites (fractional):
Cs: 0.0000 0.0000 0.2156 [6 per cell]
Ba: 0.0000 0.0000 0.5000 [3 per cell]
Tl: 0.0015 0.5007 0.7965 [18 per cell]
Tl: 0.0283 0.5141 0.6026 [18 per cell]
In: 0.0000 0.5000 0.0000 [9 per cell]

Calculated formation energy = 31 meV per atom

---

DFT (PBE) results for an optimized crystal structure of CsBaV2In.

Unit cell a=5.8322 b=5.8322 c=6.7925 alpha=90.00 beta=90.00 gamma=90.00
Space group P4/mmm (No. 123)
Symmetry-distinct sites (fractional):
Cs: 0.0000 0.0000 0.0000 [1 per cell]
Ba: 0.0000 0.0000 0.5000 [1 per cell]
V: 0.0000 0.5000 0.5000 [2 per cell]
In: 0.5000 0.5000 0.0000 [1 per cell]

Calculated formation energy = 1835 meV per atom

---

DFT (PBE) results for an optimized crystal structure of CsBaZnIn2.

Unit cell a=6.3548 b=6.3548 c=6.9735 alpha=90.00 beta=90.00 gamma=90.00
Space group P4/mmm (No. 123)
Symmetry-distinct sites (fractional):
Cs: 0.0000 0.0000 0.0000 [1 per cell]
Ba: 0.0000 0.0000 0.5000 [1 per cell]
Zn: 0.5000 0.5000 0.5000 [1 per cell]
In: 0.0000 0.5000 0.0000 [2 per cell]

Calculated formation energy = 924 meV per atom

---

DFT (PBE) results for an optimized crystal structure of CsBaIr3.

Unit cell a=5.1621 b=5.1621 c=5.1621 alpha=90.00 beta=90.00 gamma=90.00
Space group Pm-3m (No. 221)
Symmetry-distinct sites (fractional):
Cs: 0.0000 0.0000 0.0000 [1 per cell]
Ba: 0.5000 0.5000 0.5000 [1 per cell]
Ir: 0.0000 0.0000 0.5000 [3 per cell]

Calculated formation energy = 2092 meV per atom
Relative energy among the computed polymorphs = 0 meV/atom

---

DFT (PBE) results for an optimized crystal structure of Cs2Ba2Ir.

Unit cell a=8.4307 b=8.4307 c=6.5137 alpha=90.00 beta=90.00 gamma=90.00
Space group P4/mbm (No. 127)
Symmetry-distinct sites (fractional):
Cs: 0.1477 0.3523 0.0000 [4 per cell]
Ba: 0.2026 0.7026 0.5000 [4 per cell]
Ir: 0.0000 0.0000 0.0000 [2 per cell]

Calculated formation energy = 773 meV per atom

---

DFT (PBE) results for an optimized crystal structure of CsBa2Ir.

Unit cell a=8.2938 b=8.2938 c=8.2938 alpha=90.00 beta=90.00 gamma=90.00
Space group Fm-3m (No. 225)
Symmetry-distinct sites (fractional):
Cs: 0.0000 0.0000 0.0000 [4 per cell]
Ba: 0.2500 0.2500 0.2500 [8 per cell]
Ir: 0.0000 0.0000 0.5000 [4 per cell]

Calculated formation energy = 416 meV per atom
Relative energy among the computed polymorphs = 405 meV/atom

---

DFT (PBE) results for an optimized crystal structure of Cs2Ba6Ir.

Unit cell a=9.0812 b=9.0812 c=23.9191 alpha=90.00 beta=90.00 gamma=120.00
Space group R3m (No. 160, hexagonal axes)
Symmetry-distinct sites (fractional):
Cs: 0.0000 0.0000 0.0000 [3 per cell]
Cs: 0.0000 0.0000 0.1690 [3 per cell]
Ba: 0.1765 0.3530 0.4912 [9 per cell]
Ba: 0.1788 0.3577 0.3263 [9 per cell]
Ir: 0.0000 0.0000 0.7421 [3 per cell]

Calculated formation energy = 76 meV per atom

---

DFT (PBE) results for an optimized crystal structure of CsBaIr2.

Unit cell a=4.8141 b=4.8141 c=22.2017 alpha=90.00 beta=90.00 gamma=90.00
Space group I-42d (No. 122)
Symmetry-distinct sites (fractional):
Cs: 0.0000 0.0000 0.0000 [4 per cell]
Ba: 0.0000 0.0000 0.5000 [4 per cell]
Ir: 0.0769 0.2500 0.1250 [8 per cell]

Calculated formation energy = 1004 meV per atom
Relative energy among the computed polymorphs = 0 meV/atom

---

DFT (PBE) results for an optimized crystal structure of CsBaIr2.

Unit cell a=7.6640 b=7.6640 c=7.6640 alpha=90.00 beta=90.00 gamma=90.00
Space group Fm-3m (No. 225)
Symmetry-distinct sites (fractional):
Cs: 0.0000 0.0000 0.0000 [4 per cell]
Ba: 0.0000 0.0000 0.5000 [4 per cell]
Ir: 0.2500 0.2500 0.2500 [8 per cell]

Calculated formation energy = 1231 meV per atom
Relative energy among the computed polymorphs = 227 meV/atom

---

DFT (PBE) results for an optimized crystal structure of CsBaIr3.

Unit cell a=5.4027 b=5.4027 c=5.4027 alpha=90.00 beta=90.00 gamma=90.00
Space group Pm-3m (No. 221)
Symmetry-distinct sites (fractional):
Cs: 0.0000 0.0000 0.0000 [1 per cell]
Ba: 0.5000 0.5000 0.5000 [1 per cell]
Ir: 0.0000 0.5000 0.5000 [3 per cell]

Calculated formation energy = 2285 meV per atom
Relative energy among the computed polymorphs = 193 meV/atom

---

DFT (PBE) results for an optimized crystal structure of CsBa2Ir.

Unit cell a=4.6531 b=4.6531 c=37.7272 alpha=90.00 beta=90.00 gamma=120.00
Space group R-3m (No. 166, hexagonal axes)
Symmetry-distinct sites (fractional):
Cs: 0.0000 0.0000 0.0000 [3 per cell]
Ba: 0.0000 0.0000 0.1250 [6 per cell]
Ir: 0.0000 0.0000 0.5000 [3 per cell]

Calculated formation energy = 11 meV per atom
Relative energy among the computed polymorphs = 0 meV/atom

---

DFT (PBE) results for an optimized crystal structure of CsKBa2Ir.

Unit cell a=6.1612 b=6.1612 c=7.0795 alpha=90.00 beta=90.00 gamma=90.00
Space group P4/mmm (No. 123)
Symmetry-distinct sites (fractional):
Cs: 0.0000 0.0000 0.0000 [1 per cell]
K: 0.5000 0.5000 0.0000 [1 per cell]
Ba: 0.0000 0.5000 0.5000 [2 per cell]
Ir: 0.5000 0.5000 0.5000 [1 per cell]

Calculated formation energy = 164 meV per atom

---

DFT (PBE) results for an optimized crystal structure of CsKBaIr2.

Unit cell a=5.5164 b=5.5164 c=6.1652 alpha=90.00 beta=90.00 gamma=90.00
Space group P4/mmm (No. 123)
Symmetry-distinct sites (fractional):
Cs: 0.0000 0.0000 0.0000 [1 per cell]
K: 0.5000 0.5000 0.0000 [1 per cell]
Ba: 0.5000 0.5000 0.5000 [1 per cell]
Ir: 0.0000 0.5000 0.5000 [2 per cell]

Calculated formation energy = 1288 meV per atom

---

DFT (PBE) results for an optimized crystal structure of CsBaLa2Ir.

Unit cell a=5.7277 b=5.7277 c=6.6984 alpha=90.00 beta=90.00 gamma=90.00
Space group P4/mmm (No. 123)
Symmetry-distinct sites (fractional):
Cs: 0.0000 0.0000 0.0000 [1 per cell]
Ba: 0.5000 0.5000 0.0000 [1 per cell]
La: 0.0000 0.5000 0.5000 [2 per cell]
Ir: 0.5000 0.5000 0.5000 [1 per cell]

Calculated formation energy = -103 meV per atom

---

DFT (PBE) results for an optimized crystal structure of CsBa2LaIr.

Unit cell a=6.5955 b=6.5955 c=5.5591 alpha=90.00 beta=90.00 gamma=90.00
Space group P4/mmm (No. 123)
Symmetry-distinct sites (fractional):
Cs: 0.0000 0.0000 0.0000 [1 per cell]
Ba: 0.0000 0.5000 0.5000 [2 per cell]
La: 0.5000 0.5000 0.0000 [1 per cell]
Ir: 0.5000 0.5000 0.5000 [1 per cell]

Calculated formation energy = -68 meV per atom

---

DFT (PBE) results for an optimized crystal structure of CsBaMg2Ir.

Unit cell a=5.3636 b=5.3636 c=5.9434 alpha=90.00 beta=90.00 gamma=90.00
Space group P4/mmm (No. 123)
Symmetry-distinct sites (fractional):
Cs: 0.0000 0.0000 0.0000 [1 per cell]
Ba: 0.5000 0.5000 0.0000 [1 per cell]
Mg: 0.0000 0.5000 0.5000 [2 per cell]
Ir: 0.5000 0.5000 0.5000 [1 per cell]

Calculated formation energy = 7 meV per atom

---

DFT (PBE) results for an optimized crystal structure of CsBa2MgIr.

Unit cell a=6.2059 b=6.2059 c=5.4877 alpha=90.00 beta=90.00 gamma=90.00
Space group P4/mmm (No. 123)
Symmetry-distinct sites (fractional):
Cs: 0.0000 0.0000 0.0000 [1 per cell]
Ba: 0.0000 0.5000 0.5000 [2 per cell]
Mg: 0.5000 0.5000 0.0000 [1 per cell]
Ir: 0.5000 0.5000 0.5000 [1 per cell]

Calculated formation energy = 26 meV per atom

---

DFT (PBE) results for an optimized crystal structure of CsBaNa2Ir.

Unit cell a=6.9706 b=6.9706 c=5.4639 alpha=90.00 beta=90.00 gamma=90.00
Space group P4/mmm (No. 123)
Symmetry-distinct sites (fractional):
Cs: 0.0000 0.0000 0.0000 [1 per cell]
Ba: 0.5000 0.5000 0.5000 [1 per cell]
Na: 0.0000 0.5000 0.5000 [2 per cell]
Ir: 0.5000 0.5000 0.0000 [1 per cell]

Calculated formation energy = 709 meV per atom

---

DFT (PBE) results for an optimized crystal structure of CsBa2IrO6.

Unit cell a=6.7055 b=6.7055 c=14.8675 alpha=90.00 beta=90.00 gamma=120.00
Space group R-3 (No. 148, hexagonal axes)
Symmetry-distinct sites (fractional):
Cs: 0.0000 0.0000 0.0000 [3 per cell]
Ba: 0.0000 0.0000 0.2700 [6 per cell]
Ir: 0.0000 0.0000 0.5000 [3 per cell]
O: 0.0024 0.2349 0.5762 [18 per cell]

ΔE_f (raw) = -1.615 eV/atom

---

DFT (PBE) results for an optimized crystal structure of Cs2BaIrOs.

Unit cell a=7.3088 b=7.3088 c=5.1055 alpha=90.00 beta=90.00 gamma=90.00
Space group P4/mmm (No. 123)
Symmetry-distinct sites (fractional):
Cs: 0.0000 0.5000 0.0000 [2 per cell]
Ba: 0.0000 0.0000 0.0000 [1 per cell]
Ir: 0.5000 0.5000 0.5000 [1 per cell]
Os: 0.0000 0.0000 0.5000 [1 per cell]

Calculated formation energy = 1982 meV per atom
Relative energy among the computed polymorphs = 874 meV/atom

---

DFT (PBE) results for an optimized crystal structure of Cs2BaIrOs.

Unit cell a=6.0718 b=6.0718 c=4.8771 alpha=90.00 beta=90.00 gamma=90.00
Space group P4/mmm (No. 123)
Symmetry-distinct sites (fractional):
Cs: 0.0000 0.5000 0.0000 [2 per cell]
Ba: 0.0000 0.0000 0.5000 [1 per cell]
Ir: 0.5000 0.5000 0.5000 [1 per cell]
Os: 0.5000 0.5000 0.0000 [1 per cell]

Calculated formation energy = 1108 meV per atom
Relative energy among the computed polymorphs = 0 meV/atom

---

DFT (PBE) results for an optimized crystal structure of CsBaIr2Pd.

Unit cell a=5.0619 b=5.0619 c=6.1947 alpha=90.00 beta=90.00 gamma=90.00
Space group P4/mmm (No. 123)
Symmetry-distinct sites (fractional):
Cs: 0.0000 0.0000 0.0000 [1 per cell]
Ba: 0.0000 0.0000 0.5000 [1 per cell]
Ir: 0.0000 0.5000 0.0000 [2 per cell]
Pd: 0.5000 0.5000 0.5000 [1 per cell]

Calculated formation energy = 2032 meV per atom

---

DFT (PBE) results for an optimized crystal structure of CsBaIrRh2.

Unit cell a=4.9472 b=4.9472 c=5.7963 alpha=90.00 beta=90.00 gamma=90.00
Space group P4/mmm (No. 123)
Symmetry-distinct sites (fractional):
Cs: 0.0000 0.0000 0.0000 [1 per cell]
Ba: 0.5000 0.5000 0.0000 [1 per cell]
Ir: 0.0000 0.0000 0.5000 [1 per cell]
Rh: 0.0000 0.5000 0.5000 [2 per cell]

Calculated formation energy = 760 meV per atom

---

DFT (PBE) results for an optimized crystal structure of CsBa2SrIr.

Unit cell a=6.3519 b=6.3519 c=6.1614 alpha=90.00 beta=90.00 gamma=90.00
Space group P4/mmm (No. 123)
Symmetry-distinct sites (fractional):
Cs: 0.0000 0.0000 0.0000 [1 per cell]
Ba: 0.0000 0.5000 0.5000 [2 per cell]
Sr: 0.5000 0.5000 0.0000 [1 per cell]
Ir: 0.5000 0.5000 0.5000 [1 per cell]

Calculated formation energy = 4 meV per atom

---

DFT (PBE) results for an optimized crystal structure of CsBaSr2Ir.

Unit cell a=6.1389 b=6.1389 c=6.3174 alpha=90.00 beta=90.00 gamma=90.00
Space group P4/mmm (No. 123)
Symmetry-distinct sites (fractional):
Cs: 0.0000 0.0000 0.0000 [1 per cell]
Ba: 0.5000 0.5000 0.0000 [1 per cell]
Sr: 0.0000 0.5000 0.5000 [2 per cell]
Ir: 0.5000 0.5000 0.5000 [1 per cell]

Calculated formation energy = -5 meV per atom

---

| no. | DOS at the Fermi energy (states/eV/f.u.) |
| --- | --- |
| 1 | 1.65 |
| 2 | 0.19 |
| 3 | 11.35 |
| 4 | 8.33 |
| 5 | 6.07 |
| 6 | 5.92 |
| 7 | 5.54 |
| 8 | 3.01 |
| 9 | 12.65 |
| 10 | 3.55 |
| 11 | 6.25 |
| 12 | 12.12 |
| 13 | 3.36 |
| 14 | 3.35 |
| 15 | 1.05 |
| 16 | 5.44 |
| 17 | 5.16 |
| 18 | 3.12 |
| 19 | 4.22 |
| 20 | 4.93 |
| 21 | 7.63 |
| 22 | 2.58 |
| 23 | 2.97 |
| 24 | 3.42 |
| 25 | 4.90 |
| 26 | 4.77 |
| 27 | 4.89 |